KZnSi | PBE | optimized geometry

Output
Space-group type: P-6m2 (187)
Offset from the most stable computed form in eV per atom: 0.0713

Structure (POSCAR):
```
KZnSi
1.0
4.209 0.000 0.000
-2.104 3.645 0.000
0.000 0.000 5.398
K Zn Si
1 1 1
Direct
0.000 0.000 0.000
0.333 0.667 0.500
0.667 0.333 0.500
```


PmAlGe2 | PBE | optimized geometry

Output
Space-group type: R-3m (166)
Offset from the most stable computed form in eV per atom: 0.7524

Structure (POSCAR):
```
PmAlGe2
1.0
2.469 1.426 6.523
-2.469 1.426 6.523
0.000 -2.851 6.523
Pm Al Ge
1 1 2
Direct
0.000 0.000 0.000
0.500 0.500 0.500
0.377 0.377 0.377
0.623 0.623 0.623
```


LiBeSe2 | PBE | optimized geometry

Output
Space-group type: I-4m2 (119)
Final energy in eV for the cell shown: -13.27

Structure (POSCAR):
```
LiBeSe2
1.0
-1.744 1.744 5.621
1.744 -1.744 5.621
1.744 1.744 -5.621
Li Be Se
1 1 2
Direct
0.000 0.000 0.000
0.750 0.250 0.500
0.250 0.750 0.500
0.500 0.500 0.000
```